Density functional theory data (PBE) for a relaxed structure of RbYF2.

The value obtained for the total magnetic moment is 0.203 μB/atom. The calculation puts the energy relative to the lowest polymorph listed for this composition at 279.0 meV per atom. Its space group is I-42d, No. 122. For the uncorrected formation energy, the calculation gives -2.324 eV/atom.

Unit cell a=7.897 b=7.897 c=7.897 alpha=136.36 beta=136.36 gamma=63.43
Positions (direct):
1 Rb 0.000 0.000 0.000
2 Rb 0.750 0.250 0.500
3 Y 0.250 0.750 0.500
4 Y 0.500 0.500 0.000
5 F 0.343 0.625 0.218
6 F 0.375 0.593 0.718
7 F 0.407 0.125 0.782
8 F 0.875 0.657 0.282

---

Density functional theory data (PBE) for a relaxed structure of RbYF3.

The value obtained for the total magnetic moment is 0.190 μB/atom. The calculation puts the energy relative to the lowest polymorph listed for this composition at 1253.3 meV per atom. Its space group is Pm-3m, No. 221. For the uncorrected formation energy, the calculation gives -1.782 eV/atom.

Unit cell a=4.854 b=4.854 c=4.854 alpha=90.00 beta=90.00 gamma=90.00
Positions (direct):
1 Rb 0.000 0.000 0.000
2 Y 0.500 0.500 0.500
3 F 0.000 0.000 0.500
4 F 0.000 0.500 0.000
5 F 0.500 0.000 0.000

---

Density functional theory data (PBE) for a relaxed structure of Rb5Y2F12.

The value obtained for the total magnetic moment is 0.068 μB/atom. Its space group is C2/m, No. 12. For the uncorrected formation energy, the calculation gives -3.156 eV/atom.

Unit cell a=8.074 b=8.074 c=6.870 alpha=97.10 beta=97.10 gamma=61.75
Positions (direct):
1 Rb 0.000 0.000 0.000
2 Rb 0.240 0.240 0.468
3 Rb 0.360 0.360 0.977
4 Rb 0.640 0.640 0.023
5 Rb 0.760 0.760 0.532
6 Y 0.264 0.736 0.500
7 Y 0.736 0.264 0.500
8 F 0.061 0.061 0.619
9 F 0.108 0.696 0.724
10 F 0.157 0.568 0.289
11 F 0.304 0.892 0.276
12 F 0.432 0.843 0.711
13 F 0.464 0.464 0.660
14 F 0.536 0.536 0.340
15 F 0.568 0.157 0.289
16 F 0.696 0.108 0.724
17 F 0.843 0.432 0.711
18 F 0.892 0.304 0.276
19 F 0.939 0.939 0.381

---

Density functional theory data (PBE) for a relaxed structure of Rb2YF7.

The value obtained for the total magnetic moment is 0.200 μB/atom. Its space group is I4/mmm, No. 139. For the uncorrected formation energy, the calculation gives -2.610 eV/atom.

Unit cell a=6.681 b=6.681 c=6.681 alpha=125.64 beta=125.64 gamma=80.48
Positions (direct):
1 Rb 0.250 0.750 0.500
2 Rb 0.750 0.250 0.500
3 Y 0.000 0.000 0.000
4 F 0.211 0.211 0.000
5 F 0.252 0.252 0.503
6 F 0.252 0.748 0.000
7 F 0.500 0.500 0.000
8 F 0.748 0.252 0.000
9 F 0.748 0.748 0.497
10 F 0.789 0.789 0.000

---

| no. | Fermi-level density of states (states/eV per cell) |
| --- | --- |
| 1 | 4.84 |
| 2 | 3.92 |
| 3 | 11.35 |
| 4 | 0.00 |